Compound: ScNiW2
Source: Alexandria via LeMat-Bulk
Functional: PBE
Structure: relaxed

## Properties
Its raw total energy is -36.6 eV per cell. As for the formation energy: 358 meV per atom. For the density, the calculation gives 12037 kg/m³. As for the volume: 65 Å³/f.u.

a = 2.712 Å, b = 4.554 Å, c = 5.265 Å
α = 90.00°, β = 90.00°, γ = 90.00°
Fractional positions:
Sc: 0.000 0.000 0.000
Ni: 0.000 0.000 0.500
W: 0.500 0.500 0.251
W: 0.500 0.500 0.749